1.
Material: NaCa2SbCl8
Method: DFT, GGA-PBE
State: relaxed

```
NaCa2SbCl8
1.0
-1.9759 6.0167 1.5862
-2.3114 -2.2353 5.4358
7.4002 1.4444 3.7401
Na Ca Sb Cl
1 2 1 8
direct
0.0000 0.0000 0.5000
0.5000 0.5000 0.7415
0.5000 0.5000 0.2585
0.0000 0.0000 0.0000
0.1710 0.7784 0.2340
0.6740 0.7270 0.0000
0.8290 0.2216 0.2340
0.8290 0.2216 0.7660
0.3260 0.2730 0.0000
0.1710 0.7784 0.7660
0.6723 0.7168 0.5000
0.3277 0.2832 0.5000
```

Total moment in μB/f.u.: 0.00
SG: P2/m
E_form (uncorrected) in eV per atom: -1.77
Calculated total energy in eV/atom: -3.785



2.
Material: NaCaSbCl6
Method: DFT, GGA-PBE
State: relaxed

```
NaCaSbCl6
1.0
-5.0599 0.3591 -4.7007
3.8028 -5.7497 0.5548
-7.8321 -4.3990 8.0945
Na Ca Sb Cl
2 2 2 12
direct
0.6667 0.3333 0.2500
0.3333 0.6667 0.7500
0.3333 0.6667 0.2500
0.6667 0.3333 0.7500
0.0000 0.0000 0.0000
0.0000 0.0000 0.5000
0.6716 0.6790 0.1227
0.0074 0.3284 0.1227
0.3284 0.0074 0.6227
0.9926 0.6716 0.8773
0.3210 0.3284 0.3773
0.0074 0.6790 0.3773
0.6790 0.0074 0.8773
0.6716 0.9926 0.3773
0.9926 0.3210 0.6227
0.3210 0.9926 0.1227
0.6790 0.6716 0.6227
0.3284 0.3210 0.8773
```

Total moment in μB/f.u.: 0.00
SG: P-31c
E_form (uncorrected) in eV per atom: -1.55
Calculated total energy in eV/atom: -3.605



3.
Material: NaCaSmCl6
Method: DFT, GGA-PBE
State: relaxed

```
NaCaSmCl6
1.0
-2.8337 -5.8577 2.7409
6.1071 -0.3490 -3.5266
6.2229 1.9421 10.5841
Na Ca Sm Cl
2 2 2 12
direct
0.0000 0.0000 0.0000
0.0000 0.0000 0.5000
0.3333 0.6667 0.2500
0.6667 0.3333 0.7500
0.6667 0.3333 0.2500
0.3333 0.6667 0.7500
0.6517 0.6477 0.1299
0.9960 0.3483 0.1299
0.3483 0.9960 0.6299
0.0040 0.6517 0.8701
0.3523 0.3483 0.3701
0.9960 0.6477 0.3701
0.6477 0.9960 0.8701
0.6517 0.0040 0.3701
0.0040 0.3523 0.6299
0.3523 0.0040 0.1299
0.6477 0.6517 0.6299
0.3483 0.3523 0.8701
```

Total moment in μB/f.u.: 0.00
SG: P-31c
E_form (uncorrected) in eV per atom: -2.21
Calculated total energy in eV/atom: -4.336



4.
Material: Na2CaSnCl6
Method: DFT, GGA-PBE
State: relaxed

```
Na2CaSnCl6
1.0
7.1280 -0.0003 0.0005
3.5637 6.1726 0.0004
3.5639 2.0579 6.3760
Na Ca Sn Cl
2 1 1 6
direct
0.5169 0.5171 0.4490
0.0187 0.0187 0.9437
0.8193 0.8192 0.5421
0.3178 0.3177 0.0471
0.6171 0.2120 0.2586
0.2120 0.9124 0.2585
0.9123 0.6171 0.2586
0.4285 0.7170 0.7525
0.7170 0.1019 0.7526
0.1019 0.4285 0.7526
```

Total moment in μB/f.u.: 0.00
SG: R3
E_form (uncorrected) in eV per atom: -1.74
Calculated total energy in eV/atom: -3.708



5.
Material: NaCa2TlCl8
Method: DFT, GGA-PBE
State: relaxed

```
NaCa2TlCl8
1.0
-1.7157 2.3078 5.8690
-1.4959 -5.8140 1.8622
7.7744 -1.1301 2.7173
Na Ca Tl Cl
1 2 1 8
direct
0.0000 0.0000 0.5000
0.5000 0.5000 0.7467
0.5000 0.5000 0.2533
0.0000 0.0000 0.0000
0.1630 0.7766 0.2315
0.6686 0.7322 0.0000
0.8369 0.2234 0.2315
0.8370 0.2234 0.7685
0.3314 0.2678 0.0000
0.1631 0.7766 0.7685
0.6688 0.7183 0.5000
0.3312 0.2817 0.5000
```

Total moment in μB/f.u.: 0.00
SG: P2/m
E_form (uncorrected) in eV per atom: -1.70
Calculated total energy in eV/atom: -3.572



6.
Material: NaCaTl2Cl5
Method: DFT, GGA-PBE
State: relaxed

```
NaCaTl2Cl5
1.0
-2.7441 -2.3695 -2.1778
3.5940 -5.9138 6.0124
-10.4681 3.3465 9.5491
Na Ca Tl Cl
2 2 4 10
direct
0.5333 0.0666 0.9519
0.4667 0.9334 0.4519
0.7806 0.5612 0.5248
0.2194 0.4388 0.0248
0.8624 0.7247 0.8003
0.0861 0.1722 0.6649
0.1376 0.2753 0.3003
0.9139 0.8278 0.1649
0.3712 0.7423 0.9933
0.6941 0.3882 0.9047
0.4917 0.9834 0.7765
0.2691 0.5383 0.6514
0.9326 0.8652 0.5561
0.6288 0.2577 0.4933
0.3059 0.6118 0.4047
0.5083 0.0166 0.2765
0.7309 0.4617 0.1514
0.0674 0.1348 0.0561
```

Total moment in μB/f.u.: 0.00
SG: Cmc2_1
E_form (uncorrected) in eV per atom: -1.64
Calculated total energy in eV/atom: -3.562